First-principles (PBE) data for an optimized crystal structure of Dy3Be2Si4, as listed in Alexandria.

a = 5.614 Å, b = 5.614 Å, c = 8.095 Å
α = 107.40°, β = 107.40°, γ = 41.13°
Positions (direct):
Dy1 0.000 0.000 0.000
Dy2 0.378 0.378 0.313
Dy3 0.622 0.622 0.687
Be1 0.323 0.323 0.673
Be2 0.677 0.677 0.327
Si1 0.107 0.107 0.399
Si2 0.279 0.279 0.936
Si3 0.721 0.721 0.064
Si4 0.893 0.893 0.601

Calculated values
Its space group is C2/m (12).



First-principles (PBE) data for an optimized crystal structure of Dy2BeSi3, as listed in Alexandria.

a = 3.942 Å, b = 4.035 Å, c = 6.759 Å
α = 90.00°, β = 90.00°, γ = 90.00°
Positions (direct):
Dy1 0.000 0.000 0.000
Dy2 0.500 0.000 0.500
Be1 0.000 0.500 0.673
Si1 0.000 0.500 0.349
Si2 0.500 0.500 0.165
Si3 0.500 0.500 0.819

Calculated values
The value obtained for the energy relative to the lowest polymorph listed for this composition is 21 meV per atom. Its space group is Pmm2 (25).



First-principles (PBE) data for an optimized crystal structure of Dy2BeSi2, as listed in Alexandria.

a = 5.618 Å, b = 5.618 Å, c = 10.190 Å
α = 113.66°, β = 113.66°, γ = 41.22°
Positions (direct):
Dy1 0.106 0.106 0.403
Dy2 0.293 0.293 0.855
Dy3 0.707 0.707 0.145
Dy4 0.894 0.894 0.597
Be1 0.439 0.439 0.187
Be2 0.561 0.561 0.813
Si1 0.037 0.037 0.906
Si2 0.383 0.383 0.379
Si3 0.617 0.617 0.621
Si4 0.963 0.963 0.094

Calculated values
Its space group is C2/m (12).



Number 1: formation energy from raw total energies -571 meV per atom. Number 2: formation energy from raw total energies -664 meV per atom. Number 3: formation energy from raw total energies -659 meV per atom.